[1]
DFT (PBEsol) results for a geometry-optimized CrP2Cl structure.

Results
Crystal system   trigonal

Lattice parameters (Å, degrees): 3.025 3.025 23.800 90.00 90.00 120.00
Sites, in units of the cell vectors:
Cr (0.000, 0.000, 0.000)
Cr (0.333, 0.667, 0.667)
Cr (0.667, 0.333, 0.333)
P (0.000, 0.000, 0.470)
P (0.000, 0.000, 0.742)
P (0.333, 0.667, 0.137)
P (0.333, 0.667, 0.409)
P (0.667, 0.333, 0.075)
P (0.667, 0.333, 0.804)
Cl (0.000, 0.000, 0.273)
Cl (0.333, 0.667, 0.939)
Cl (0.667, 0.333, 0.606)

[2]
DFT (PBEsol) results for a geometry-optimized CrP2PbCl structure.

Results
Crystal system   tetragonal

Lattice parameters (Å, degrees): 4.462 4.462 4.994 90.00 90.00 90.00
Sites, in units of the cell vectors:
Cr (0.000, 0.000, 0.000)
P (0.000, 0.500, 0.000)
P (0.500, 0.000, 0.000)
Pb (0.500, 0.500, 0.500)
Cl (0.000, 0.000, 0.500)

[3]
DFT (PBEsol) results for a geometry-optimized CrPPdCl2 structure.

Results
Crystal system   tetragonal

Lattice parameters (Å, degrees): 4.549 4.549 4.597 90.00 90.00 90.00
Sites, in units of the cell vectors:
Cr (0.000, 0.000, 0.000)
P (0.000, 0.000, 0.500)
Pd (0.500, 0.500, 0.500)
Cl (0.000, 0.500, 0.000)
Cl (0.500, 0.000, 0.000)

[4]
DFT (PBEsol) results for a geometry-optimized RbCrP2Cl structure.

Results
Crystal system   tetragonal

Lattice parameters (Å, degrees): 5.386 5.386 5.524 90.00 90.00 90.00
Sites, in units of the cell vectors:
Rb (0.000, 0.000, 0.000)
Cr (0.500, 0.500, 0.500)
P (0.000, 0.500, 0.000)
P (0.500, 0.000, 0.000)
Cl (0.000, 0.000, 0.500)

[5]
DFT (PBEsol) results for a geometry-optimized CrPS2Cl structure.

Results
Crystal system   tetragonal

Lattice parameters (Å, degrees): 4.516 4.516 4.598 90.00 90.00 90.00
Sites, in units of the cell vectors:
Cr (0.000, 0.000, 0.000)
P (0.500, 0.500, 0.000)
S (0.000, 0.500, 0.500)
S (0.500, 0.000, 0.500)
Cl (0.500, 0.500, 0.500)

[6]
DFT (PBEsol) results for a geometry-optimized ScCrP2Cl structure.

Results
Crystal system   tetragonal

Lattice parameters (Å, degrees): 4.461 4.461 4.585 90.00 90.00 90.00
Sites, in units of the cell vectors:
Sc (0.000, 0.000, 0.000)
Cr (0.500, 0.500, 0.500)
P (0.000, 0.500, 0.500)
P (0.500, 0.000, 0.500)
Cl (0.500, 0.500, 0.000)

[7]
DFT (PBEsol) results for a geometry-optimized CrSnPCl2 structure.

Results
Crystal system   tetragonal

Lattice parameters (Å, degrees): 5.043 5.043 5.161 90.00 90.00 90.00
Sites, in units of the cell vectors:
Cr (0.000, 0.000, 0.000)
Sn (0.500, 0.500, 0.500)
P (0.500, 0.500, 0.000)
Cl (0.000, 0.500, 0.500)
Cl (0.500, 0.000, 0.500)

[8]
DFT (PBEsol) results for a geometry-optimized CrTePCl2 structure.

Results
Crystal system   tetragonal

Lattice parameters (Å, degrees): 4.484 4.484 5.123 90.00 90.00 90.00
Sites, in units of the cell vectors:
Cr (0.000, 0.000, 0.000)
Te (0.500, 0.500, 0.500)
P (0.000, 0.000, 0.500)
Cl (0.000, 0.500, 0.000)
Cl (0.500, 0.000, 0.000)

[9]
DFT (PBEsol) results for a geometry-optimized ZnCrPCl2 structure.

Results
Crystal system   tetragonal

Lattice parameters (Å, degrees): 4.438 4.438 5.879 90.00 90.00 90.00
Sites, in units of the cell vectors:
Zn (0.000, 0.000, 0.000)
Cr (0.000, 0.000, 0.500)
P (0.500, 0.500, 0.000)
Cl (0.000, 0.500, 0.500)
Cl (0.500, 0.000, 0.500)

[10]
DFT (PBEsol) results for a geometry-optimized CrPb2Cl structure.

Results
Crystal system   tetragonal

Lattice parameters (Å, degrees): 4.659 4.659 8.733 90.00 90.00 90.00
Sites, in units of the cell vectors:
Cr (0.000, 0.000, 0.000)
Cr (0.500, 0.500, 0.500)
Pb (0.000, 0.500, 0.250)
Pb (0.000, 0.500, 0.750)
Pb (0.500, 0.000, 0.250)
Pb (0.500, 0.000, 0.750)
Cl (0.000, 0.000, 0.500)
Cl (0.500, 0.500, 0.000)

[11]
DFT (PBEsol) results for a geometry-optimized CrPbCl structure.

Results
Crystal system   orthorhombic

Lattice parameters (Å, degrees): 3.424 5.637 14.774 90.00 90.00 90.00
Sites, in units of the cell vectors:
Cr (0.000, 0.000, 0.000)
Cr (0.000, 0.500, 0.500)
Cr (0.500, 0.000, 0.500)
Cr (0.500, 0.500, 0.000)
Pb (0.000, 0.000, 0.334)
Pb (0.000, 0.500, 0.834)
Pb (0.500, 0.000, 0.834)
Pb (0.500, 0.500, 0.334)
Cl (0.000, 0.000, 0.605)
Cl (0.000, 0.500, 0.105)
Cl (0.500, 0.000, 0.105)
Cl (0.500, 0.500, 0.605)

[12]
DFT (PBEsol) results for a geometry-optimized CrPb2Cl structure.

Results
Crystal system   trigonal

Lattice parameters (Å, degrees): 3.512 3.512 26.715 90.00 90.00 120.00
Sites, in units of the cell vectors:
Cr (0.000, 0.000, 0.000)
Cr (0.333, 0.667, 0.667)
Cr (0.667, 0.333, 0.333)
Pb (0.000, 0.000, 0.254)
Pb (0.000, 0.000, 0.746)
Pb (0.333, 0.667, 0.413)
Pb (0.333, 0.667, 0.920)
Pb (0.667, 0.333, 0.080)
Pb (0.667, 0.333, 0.587)
Cl (0.000, 0.000, 0.500)
Cl (0.333, 0.667, 0.167)
Cl (0.667, 0.333, 0.833)

| no. | ΔE_f (raw) (meV/atom) |
| --- | --- |
| 1 | -55 |
| 2 | 58 |
| 3 | 299 |
| 4 | 1693 |
| 5 | 1199 |
| 6 | -159 |
| 7 | 462 |
| 8 | -13 |
| 9 | 407 |
| 10 | 320 |
| 11 | 57 |
| 12 | 223 |